Record 1
# Tl2Si2Sn

Crystalline Tl2Si2Sn at its relaxed geometry (PBE, Alexandria).

Output
ρ	7593	kg/m³
SG	P4/mbm, No. 127
M_tot	0.0000	μB/atom
E_tot	-35.94	eV/cell
uncorrected formation energy	31.0	kJ per mole of atoms

Cell and atoms, written as POSCAR:
```
Tl2Si2Sn
1.0
7.076 0.000 0.000
0.000 7.076 0.000
0.000 0.000 5.099
Tl Si Sn
4 4 2
direct
0.185 0.685 0.500
0.685 0.815 0.500
0.815 0.315 0.500
0.315 0.185 0.500
0.383 0.883 0.000
0.883 0.617 0.000
0.617 0.117 0.000
0.117 0.383 0.000
0.000 0.000 0.000
0.500 0.500 0.000
```

---

Record 2
# TlSiSn2

Crystalline TlSiSn2 at its relaxed geometry (PBE, Alexandria).

Output
ρ	7699	kg/m³
SG	Fm-3m, No. 225
M_tot	0.0000	μB/atom
E_tot	-14.36	eV/cell
uncorrected formation energy	34.7	kJ per mole of atoms

Cell and atoms, written as POSCAR:
```
TlSiSn2
1.0
1.975 -2.420 4.199
-2.276 0.594 4.675
-2.588 -3.994 2.177
Tl Si Sn
1 1 2
direct
0.500 0.500 0.500
0.000 0.000 0.000
0.250 0.250 0.250
0.750 0.750 0.750
```

---

Record 3
# TlSiSn2

Crystalline TlSiSn2 at its relaxed geometry (PBE, Alexandria).

Output
ρ	7185	kg/m³
SG	R-3m, No. 166
M_tot	0.0000	μB/atom
E_tot	-15.13	eV/cell
uncorrected formation energy	16.1	kJ per mole of atoms

Cell and atoms, written as POSCAR:
```
TlSiSn2
1.0
-1.077 -0.995 3.688
-2.041 -3.344 0.637
5.785 -5.437 2.359
Tl Si Sn
1 1 2
direct
0.500 0.500 0.500
0.000 0.000 0.000
0.268 0.268 0.195
0.732 0.732 0.805
```

---

Record 4
# Tl2Si2Sn

Crystalline Tl2Si2Sn at its relaxed geometry (PBE, Alexandria).

Output
ρ	7837	kg/m³
SG	I4/mmm, No. 139
M_tot	0.0000	μB/atom
E_tot	-18.23	eV/cell
uncorrected formation energy	26.2	kJ per mole of atoms

Cell and atoms, written as POSCAR:
```
Tl2Si2Sn
1.0
3.493 0.000 0.000
0.000 3.493 0.000
1.747 1.747 10.134
Tl Si Sn
2 2 1
direct
0.382 0.382 0.236
0.618 0.618 0.764
0.750 0.250 0.500
0.250 0.750 0.500
0.000 0.000 0.000
```

---

Record 5
# TlSi3Sn

Crystalline TlSi3Sn at its relaxed geometry (PBE, Alexandria).

Output
ρ	4747	kg/m³
SG	Pm-3m, No. 221
M_tot	0.0000	μB/atom
E_tot	-17.02	eV/cell
uncorrected formation energy	108.3	kJ per mole of atoms

Cell and atoms, written as POSCAR:
```
TlSi3Sn
1.0
-0.564 5.020 1.330
-1.719 1.082 -4.812
-4.900 -0.957 1.535
Tl Si Sn
1 3 1
direct
0.500 0.500 0.500
0.000 0.500 0.000
0.000 0.000 0.500
0.500 0.000 0.000
0.000 0.000 0.000
```

---

Record 6
# TlSi2Sn2

Crystalline TlSi2Sn2 at its relaxed geometry (PBE, Alexandria).

Output
ρ	6693	kg/m³
SG	I4/mmm, No. 139
M_tot	0.0000	μB/atom
E_tot	-20.13	eV/cell
uncorrected formation energy	21.0	kJ per mole of atoms

Cell and atoms, written as POSCAR:
```
TlSi2Sn2
1.0
5.133 0.000 0.000
0.000 5.133 0.000
2.566 2.566 4.690
Tl Si Sn
1 2 2
direct
0.000 0.000 0.000
0.372 0.372 0.255
0.628 0.628 0.745
0.750 0.250 0.500
0.250 0.750 0.500
```

---

Record 7
# TlSiSn2

Crystalline TlSiSn2 at its relaxed geometry (PBE, Alexandria).

Output
ρ	5928	kg/m³
SG	I-42d, No. 122
M_tot	0.0000	μB/atom
E_tot	-29.52	eV/cell
uncorrected formation energy	24.9	kJ per mole of atoms

Cell and atoms, written as POSCAR:
```
TlSiSn2
1.0
-3.884 -4.788 -2.140
4.398 -4.425 1.916
-2.448 -4.892 5.438
Tl Si Sn
2 2 4
direct
0.000 0.000 0.000
0.750 0.250 0.500
0.500 0.500 0.000
0.250 0.750 0.500
0.587 0.125 0.250
0.163 0.625 0.250
0.375 0.413 0.750
0.875 0.837 0.750
```

---

Record 8
# Tm2SiSn

Crystalline Tm2SiSn at its relaxed geometry (PBE, Alexandria).

Output
ρ	8490	kg/m³
SG	P2_1/m, No. 11
M_tot	0.0000	μB/atom
E_tot	-42.27	eV/cell
uncorrected formation energy	-66.7	kJ per mole of atoms

Cell and atoms, written as POSCAR:
```
Tm2SiSn
1.0
3.998 0.000 0.000
0.000 5.456 -2.242
0.000 -0.036 8.705
Tm Si Sn
4 2 2
direct
0.750 0.215 0.442
0.250 0.785 0.558
0.250 0.767 0.082
0.750 0.233 0.918
0.750 0.680 0.295
0.250 0.320 0.705
0.250 0.324 0.208
0.750 0.676 0.792
```